Record 1
DFT (PBE-GGA) results for a relaxed Ti6MnOs5 crystal.

Cell and atoms, written as extended XYZ:
```
12
Lattice="4.181 0.019 -1.218 -0.844 5.406 -2.815 -0.072 0.402 7.517" Properties=species:S:1:pos:R:3 pbc="T T T"
Os 2.623 1.048 1.226
Os 0.641 4.778 2.259
Os -0.422 2.703 -1.407
Os 2.199 3.748 -0.186
Os 1.065 2.078 3.671
Ti 3.376 0.733 3.797
Ti 1.453 4.094 -2.736
Ti -0.111 5.093 -0.312
Ti 1.812 1.732 6.221
Ti 0.316 2.358 1.112
Ti 2.949 3.468 2.373
Mn 0.000 0.000 0.000
```

Values from the calculation:
ΔE_f	-0.6500	eV per atom
E	-10.04	eV/atom

***

Record 2
DFT (PBE-GGA) results for a relaxed La2SmDy12 crystal.

Cell and atoms, written as extended XYZ:
```
30
Lattice="-3.143 5.900 -0.428 -2.007 -4.038 4.954 16.973 10.139 15.140" Properties=species:S:1:pos:R:3 pbc="T T T"
La 2.958 5.655 3.826
La 10.802 10.341 10.822
La 3.597 0.729 6.581
La 11.441 5.414 13.577
Dy 4.258 7.621 7.181
Dy 0.042 1.263 2.316
Dy -0.153 -0.279 5.511
Dy 7.662 4.345 12.401
Dy 11.782 10.744 17.347
Dy 3.373 2.015 3.009
Dy 6.998 9.349 9.794
Dy -0.725 4.692 2.824
Dy 11.026 9.055 14.394
Dy 3.569 5.948 9.976
Dy 6.168 4.806 7.828
Dy 5.570 3.327 4.968
Dy 11.404 6.812 10.172
Dy 4.730 2.686 9.956
Dy 8.829 7.743 12.435
Dy 11.981 12.278 14.151
Dy 14.357 9.807 15.087
Dy 2.995 4.258 7.231
Dy 13.600 8.124 12.131
Dy 5.680 6.984 11.952
Dy -2.532 2.188 4.582
Dy 0.798 2.946 5.272
Dy 12.545 7.310 16.846
Dy 8.231 6.264 9.575
Sm -1.003 -2.019 2.477
Sm 15.402 13.089 14.926
```

Values from the calculation:
ΔE_f	0.1591	eV per atom
E	-4.49	eV/atom